VASP calculation (PBE) on a relaxed YBe2B5O11 crystal.

a = 25.8619 Å, b = 4.3718 Å, c = 6.7460 Å
α = 90.00°, β = 90.00°, γ = 90.00°
Element x y z (fractional)
Y 0.0803 0.1354 0.0000
Y 0.4197 0.6354 0.5000
Y 0.5803 0.3646 0.0000
Y 0.9197 0.8646 0.5000
Be 0.2071 0.3546 0.8660
Be 0.2094 0.8522 0.0901
Be 0.2906 0.3522 0.5901
Be 0.2929 0.8546 0.3660
Be 0.7071 0.1454 0.8660
Be 0.7094 0.6478 0.0901
Be 0.7906 0.1478 0.5901
Be 0.7929 0.6454 0.3660
B 0.0016 0.4636 0.5907
B 0.0560 0.9761 0.5708
B 0.1291 0.8619 0.3440
B 0.1303 0.6340 0.6731
B 0.2486 0.8414 0.7262
B 0.2514 0.3414 0.2262
B 0.3697 0.1340 0.1731
B 0.3709 0.3619 0.8440
B 0.4440 0.4761 0.0708
B 0.4984 0.9636 0.0907
B 0.5016 0.0364 0.5907
B 0.5560 0.5239 0.5708
B 0.6291 0.6381 0.3440
B 0.6303 0.8660 0.6731
B 0.7486 0.6586 0.7262
B 0.7514 0.1586 0.2262
B 0.8697 0.3660 0.1731
B 0.8709 0.1381 0.8440
B 0.9440 0.0239 0.0708
B 0.9984 0.5364 0.0907
O 0.0090 0.7798 0.5598
O 0.0423 0.2786 0.6499
O 0.0478 0.6273 0.0587
O 0.0821 0.0073 0.3781
O 0.0919 0.8476 0.7195
O 0.1466 0.4325 0.8128
O 0.1504 0.6585 0.4806
O 0.1506 0.9279 0.1642
O 0.2176 0.9906 0.8627
O 0.2210 0.4914 0.0906
O 0.2484 0.5268 0.7255
O 0.2516 0.0268 0.2255
O 0.2790 0.9914 0.5906
O 0.2824 0.4906 0.3627
O 0.3494 0.4279 0.6642
O 0.3496 0.1585 0.9806
O 0.3534 0.9325 0.3128
O 0.4081 0.3476 0.2195
O 0.4179 0.5073 0.8781
O 0.4522 0.1273 0.5587
O 0.4577 0.7786 0.1499
O 0.4910 0.2798 0.0598
O 0.5090 0.7202 0.5598
O 0.5423 0.2214 0.6499
O 0.5478 0.8727 0.0587
O 0.5821 0.4927 0.3781
O 0.5919 0.6524 0.7195
O 0.6466 0.0675 0.8128
O 0.6504 0.8415 0.4806
O 0.6506 0.5721 0.1642
O 0.7176 0.5094 0.8627
O 0.7210 0.0086 0.0906
O 0.7484 0.9732 0.7255
O 0.7516 0.4732 0.2255
O 0.7790 0.5086 0.5906
O 0.7824 0.0094 0.3627
O 0.8494 0.0721 0.6642
O 0.8496 0.3415 0.9806
O 0.8534 0.5675 0.3128
O 0.9081 0.1524 0.2195
O 0.9179 0.9927 0.8781
O 0.9522 0.3727 0.5587
O 0.9577 0.7214 0.1499
O 0.9910 0.2202 0.0598

## Properties
E_form (uncorrected)   -2.69 eV/atom


VASP calculation (PBE) on a relaxed Be2BOs2 crystal.

a = 5.7645 Å, b = 5.7645 Å, c = 3.2787 Å
α = 90.00°, β = 90.00°, γ = 90.00°
Element x y z (fractional)
Be 0.1317 0.3683 0.0000
Be 0.3683 0.8683 0.0000
Be 0.6317 0.1317 0.0000
Be 0.8683 0.6317 0.0000
B 0.0000 0.0000 0.5000
B 0.5000 0.5000 0.5000
Os 0.1695 0.6695 0.5000
Os 0.3305 0.1695 0.5000
Os 0.6695 0.8305 0.5000
Os 0.8305 0.3305 0.5000

## Properties
Distance to the lowest polymorph of the same formula   0.0 meV per atom


VASP calculation (PBE) on a relaxed BeBOs crystal.

a = 4.6726 Å, b = 4.6726 Å, c = 4.6726 Å
α = 136.01°, β = 125.19°, γ = 72.79°
Element x y z (fractional)
Be 0.2452 0.0000 0.2452
Be 0.7548 0.0000 0.7548
B 0.1172 0.6172 0.5000
B 0.8828 0.3828 0.5000
Os 0.2889 0.2889 0.0000
Os 0.7111 0.7111 0.0000

## Properties
Distance to the lowest polymorph of the same formula   101.1 meV per atom


VASP calculation (PBE) on a relaxed BeBOs crystal.

a = 4.1171 Å, b = 4.1171 Å, c = 5.5853 Å
α = 119.12°, β = 119.12°, γ = 43.49°
Element x y z (fractional)
Be 0.1789 0.1789 0.0765
Be 0.8211 0.8211 0.9235
B 0.1395 0.1395 0.6648
B 0.8605 0.8605 0.3352
Os 0.4440 0.4440 0.6977
Os 0.5560 0.5560 0.3023

## Properties
Distance to the lowest polymorph of the same formula   50.3 meV per atom


VASP calculation (PBE) on a relaxed BeB2Os crystal.

a = 5.5085 Å, b = 5.5085 Å, c = 5.5085 Å
α = 128.40°, β = 128.40°, γ = 75.98°
Element x y z (fractional)
Be 0.0000 0.0000 0.0000
Be 0.7500 0.2500 0.5000
B 0.1319 0.6250 0.0069
B 0.3750 0.3819 0.5069
B 0.6181 0.1250 0.9931
B 0.8750 0.8681 0.4931
Os 0.2500 0.7500 0.5000
Os 0.5000 0.5000 0.0000

## Properties
Final energy   -49.6 eV for the cell shown


VASP calculation (PBE) on a relaxed BeBOs crystal.

a = 3.5101 Å, b = 3.5101 Å, c = 3.5101 Å
α = 60.00°, β = 60.00°, γ = 60.00°
Element x y z (fractional)
Be 0.0000 0.0000 0.0000
B 0.7500 0.7500 0.7500
Os 0.5000 0.5000 0.5000

## Properties
Distance to the lowest polymorph of the same formula   176.4 meV per atom


Copy entry 1 word for word.
VASP calculation (PBE) on a relaxed YBe2B5O11 crystal.

a = 25.8619 Å, b = 4.3718 Å, c = 6.7460 Å
α = 90.00°, β = 90.00°, γ = 90.00°
Element x y z (fractional)
Y 0.0803 0.1354 0.0000
Y 0.4197 0.6354 0.5000
Y 0.5803 0.3646 0.0000
Y 0.9197 0.8646 0.5000
Be 0.2071 0.3546 0.8660
Be 0.2094 0.8522 0.0901
Be 0.2906 0.3522 0.5901
Be 0.2929 0.8546 0.3660
Be 0.7071 0.1454 0.8660
Be 0.7094 0.6478 0.0901
Be 0.7906 0.1478 0.5901
Be 0.7929 0.6454 0.3660
B 0.0016 0.4636 0.5907
B 0.0560 0.9761 0.5708
B 0.1291 0.8619 0.3440
B 0.1303 0.6340 0.6731
B 0.2486 0.8414 0.7262
B 0.2514 0.3414 0.2262
B 0.3697 0.1340 0.1731
B 0.3709 0.3619 0.8440
B 0.4440 0.4761 0.0708
B 0.4984 0.9636 0.0907
B 0.5016 0.0364 0.5907
B 0.5560 0.5239 0.5708
B 0.6291 0.6381 0.3440
B 0.6303 0.8660 0.6731
B 0.7486 0.6586 0.7262
B 0.7514 0.1586 0.2262
B 0.8697 0.3660 0.1731
B 0.8709 0.1381 0.8440
B 0.9440 0.0239 0.0708
B 0.9984 0.5364 0.0907
O 0.0090 0.7798 0.5598
O 0.0423 0.2786 0.6499
O 0.0478 0.6273 0.0587
O 0.0821 0.0073 0.3781
O 0.0919 0.8476 0.7195
O 0.1466 0.4325 0.8128
O 0.1504 0.6585 0.4806
O 0.1506 0.9279 0.1642
O 0.2176 0.9906 0.8627
O 0.2210 0.4914 0.0906
O 0.2484 0.5268 0.7255
O 0.2516 0.0268 0.2255
O 0.2790 0.9914 0.5906
O 0.2824 0.4906 0.3627
O 0.3494 0.4279 0.6642
O 0.3496 0.1585 0.9806
O 0.3534 0.9325 0.3128
O 0.4081 0.3476 0.2195
O 0.4179 0.5073 0.8781
O 0.4522 0.1273 0.5587
O 0.4577 0.7786 0.1499
O 0.4910 0.2798 0.0598
O 0.5090 0.7202 0.5598
O 0.5423 0.2214 0.6499
O 0.5478 0.8727 0.0587
O 0.5821 0.4927 0.3781
O 0.5919 0.6524 0.7195
O 0.6466 0.0675 0.8128
O 0.6504 0.8415 0.4806
O 0.6506 0.5721 0.1642
O 0.7176 0.5094 0.8627
O 0.7210 0.0086 0.0906
O 0.7484 0.9732 0.7255
O 0.7516 0.4732 0.2255
O 0.7790 0.5086 0.5906
O 0.7824 0.0094 0.3627
O 0.8494 0.0721 0.6642
O 0.8496 0.3415 0.9806
O 0.8534 0.5675 0.3128
O 0.9081 0.1524 0.2195
O 0.9179 0.9927 0.8781
O 0.9522 0.3727 0.5587
O 0.9577 0.7214 0.1499
O 0.9910 0.2202 0.0598

## Properties
E_form (uncorrected)   -2.69 eV/atom